Record 1
First-principles (PBE) data for CuRuRh3 after structural relaxation, as listed in Alexandria.

Cell and atoms, written as CIF:
```
data_CuRuRh3
_symmetry_space_group_name_H-M 'P m -3 m'
_symmetry_Int_Tables_number 221
_symmetry_space_group_name_Hall '-P 4 2 3'
_cell_length_a 4.437
_cell_length_b 4.437
_cell_length_c 4.437
_cell_angle_alpha 90.00
_cell_angle_beta 90.00
_cell_angle_gamma 90.00
loop_
_atom_site_label
_atom_site_fract_x
_atom_site_fract_y
_atom_site_fract_z
Cu1 0.000 0.000 0.000
Ru1 0.500 0.500 0.500
Rh1 0.000 0.000 0.500
```

Summary:
- DOS at the Fermi energy: 6.0 states/eV per cell
- Energy above the most stable polymorph in this dataset: 5.58 eV per formula unit
- E_form: 7.27 eV/f.u.
- ρ: 9.00 Mg/m³

***

Record 2
First-principles (PBE) data for TbPr2Sm after structural relaxation, as listed in Alexandria.

Cell and atoms, written as CIF:
```
data_TbPr2Sm
_symmetry_space_group_name_H-M 'P 4/m m m'
_symmetry_Int_Tables_number 123
_symmetry_space_group_name_Hall '-P 4 2'
_cell_length_a 5.178
_cell_length_b 5.178
_cell_length_c 5.139
_cell_angle_alpha 90.00
_cell_angle_beta 90.00
_cell_angle_gamma 90.00
loop_
_atom_site_label
_atom_site_fract_x
_atom_site_fract_y
_atom_site_fract_z
Tb1 0.000 0.000 0.000
Pr1 0.000 0.500 0.500
Sm1 0.500 0.500 0.000
```

Summary:
- DOS at the Fermi energy: 6.6 states/eV per cell
- Energy above the most stable polymorph in this dataset: 0.02 eV per formula unit
- E_form: 0.07 eV/f.u.
- ρ: 7.12 Mg/m³

***

Record 3
First-principles (PBE) data for InHgPt after structural relaxation, as listed in Alexandria.

Cell and atoms, written as CIF:
```
data_InHgPt
_symmetry_space_group_name_H-M 'P 1 21 1'
_symmetry_Int_Tables_number 4
_cell_length_a 6.646
_cell_length_b 6.699
_cell_length_c 6.974
_cell_angle_alpha 90.00
_cell_angle_beta 107.53
_cell_angle_gamma 90.00
loop_
_symmetry_equiv_pos_as_xyz
'x,y,z'
'-x,y+1/2,-z'
loop_
_atom_site_label
_atom_site_fract_x
_atom_site_fract_y
_atom_site_fract_z
In1 0.021 0.000 0.064
In2 0.077 0.568 0.449
Hg1 0.441 0.937 0.549
Hg2 0.482 0.498 0.945
Pt1 0.166 0.790 0.780
Pt2 0.299 0.707 0.205
```

Summary:
- DOS at the Fermi energy: 5.2 states/eV per cell
- E_form: -0.58 eV/f.u.
- ρ: 11.45 Mg/m³

***

Record 4
First-principles (PBE) data for VPd2Rh after structural relaxation, as listed in Alexandria.

Cell and atoms, written as CIF:
```
data_VPd2Rh
_symmetry_space_group_name_H-M 'P m m a'
_symmetry_Int_Tables_number 51
_cell_length_a 3.895
_cell_length_b 3.779
_cell_length_c 7.877
_cell_angle_alpha 90.00
_cell_angle_beta 90.00
_cell_angle_gamma 90.00
loop_
_symmetry_equiv_pos_as_xyz
'x,y,z'
'-x,-y,-z'
'-x+1/2,-y,z'
'x+1/2,y,-z'
'x+1/2,-y,-z'
'-x+1/2,y,z'
'-x,y,-z'
'x,-y,z'
loop_
_atom_site_label
_atom_site_fract_x
_atom_site_fract_y
_atom_site_fract_z
V1 0.250 0.000 0.125
Pd1 0.250 0.000 0.636
Pd2 0.250 0.500 0.365
Rh1 0.250 0.500 0.883
```

Summary:
- DOS at the Fermi energy: 7.2 states/eV per cell
- Energy above the most stable polymorph in this dataset: 0.01 eV per formula unit
- E_form: -1.00 eV/f.u.
- ρ: 10.50 Mg/m³